# 1
Computed, not measured: LiHgB3 after structural relaxation at the GGA-PBE level of DFT.

```
LiHgB3
1.0
-0.814 -4.295 -0.861
4.300 -0.617 -0.991
0.836 -1.012 4.258
B Hg Li
3 1 1
Cartesian
2.150 -0.308 -0.495
0.418 -0.506 2.129
-0.407 -2.148 -0.430
0.000 0.000 0.000
2.161 -2.962 1.203
```

Calculated values
ΔE to the lowest computed polymorph: 61 kJ/mol of formula units
total DFT energy (no corrections): -2.31 eV/atom
density of states at the Fermi level: 0.846 states/eV per atom
calculated formation energy: 206.5 kJ per mole of atoms

---

# 2
Computed, not measured: Tc3SnN after structural relaxation at the GGA-PBE level of DFT.

```
Tc3SnN
1.0
4.451 0.000 0.000
0.000 4.451 0.000
2.225 2.225 10.325
N Sn Tc
2 2 6
Cartesian
4.451 2.225 7.248
4.451 2.225 3.077
0.000 0.000 0.000
2.225 4.451 5.162
1.088 4.451 2.486
2.225 5.588 7.838
2.225 3.313 7.838
3.363 4.451 2.486
2.225 2.225 3.167
4.451 4.451 7.158
```

Calculated values
ΔE to the lowest computed polymorph: 500 kJ/mol of formula units
total DFT energy (no corrections): -7.61 eV/atom
density of states at the Fermi level: 0.835 states/eV per atom
uncorrected formation energy: 5.40 eV/f.u.